Entry 1:
VASP calculation (PBE) on a relaxed structure of TbDyTeP.

Lattice parameters (Å, degrees): 4.0808 4.0808 21.7397 90.00 90.00 120.00
Last column: nearest neighbours and their distance in Å.
Space group R3m (No. 160, hexagonal axes)
Inequivalent atoms, fractional coordinates:
Tb 0.0000 0.0000 0.0000 (multiplicity 3)  3 P 2.83
Dy 0.0000 0.0000 0.8062 (multiplicity 3)  3 P 2.77
Te 0.0000 0.0000 0.2355 (multiplicity 3)  3 Dy 3.15, 3 Tb 3.17
P 0.0000 0.0000 0.4054 (multiplicity 3)  3 Dy 2.77, 3 Tb 2.83

DOS at the Fermi energy in states/eV/f.u.: 2.661
E in eV/atom: -5.979
ΔE_f (raw) in kJ per mole of atoms: -147.9

---

Entry 2:
VASP calculation (PBE) on a relaxed structure of Pr2Ho3Au2.

Lattice parameters (Å, degrees): 12.9698 3.7605 9.2521 90.00 117.13 90.00
Last column: nearest neighbours and their distance in Å.
Space group C2/m (No. 12)
Inequivalent atoms, fractional coordinates:
Pr 0.1511 0.0000 0.3137 (multiplicity 4)  2 Au 3.24
Ho 0.0000 0.5000 0.5000 (multiplicity 2)  4 Au 2.93
Ho 0.1150 0.5000 0.9470 (multiplicity 4)  3 Au 2.98-3.03
Au 0.1638 0.0000 0.7360 (multiplicity 4)  5 Ho 2.93-3.03, 2 Pr 3.24

DOS at the Fermi energy in states/eV/f.u.: 8.823
DFT formation energy in eV per formula unit: -3.53
E in eV/atom: -4.768

---

Entry 3:
VASP calculation (PBE) on a relaxed structure of CaMg2Ga2Ag.

Lattice parameters (Å, degrees): 5.3223 5.3223 11.1535 90.00 90.00 90.00
Last column: nearest neighbours and their distance in Å.
Space group I4/mmm (No. 139)
Inequivalent atoms, fractional coordinates:
Ca 0.0000 0.0000 0.0000 (multiplicity 2)  2 Ga 3.07
Mg 0.0000 0.5000 0.2500 (multiplicity 4)  4 Ga 2.68
Ga 0.0000 0.0000 0.2748 (multiplicity 4)  1 Ag 2.51, 4 Mg 2.68
Ag 0.0000 0.0000 0.5000 (multiplicity 2)  2 Ga 2.51

DOS at the Fermi energy in states/eV/f.u.: 4.000
DFT formation energy in eV per formula unit: 0.20
E in eV/atom: -2.316

---

Entry 4:
VASP calculation (PBE) on a relaxed structure of FeH3N.

Lattice parameters (Å, degrees): 3.0498 3.0498 3.0498 90.00 90.00 90.00
Last column: nearest neighbours and their distance in Å.
Space group Pm-3m (No. 221)
Inequivalent atoms, fractional coordinates:
Fe 0.0000 0.0000 0.0000 (multiplicity 1)  12 H 2.16
H 0.0000 0.5000 0.5000 (multiplicity 3)  2 N 1.52
N 0.5000 0.5000 0.5000 (multiplicity 1)  6 H 1.52

DOS at the Fermi energy in states/eV/f.u.: 1.991
E in eV/atom: -4.227

---

Entry 5:
VASP calculation (PBE) on a relaxed structure of Ce2HfSe5.

Lattice parameters (Å, degrees): 11.9500 8.4233 7.6855 90.00 90.00 90.00
Last column: nearest neighbours and their distance in Å.
Space group Pnma (No. 62)
Inequivalent atoms, fractional coordinates:
Ce 0.1736 0.0010 0.0522 (multiplicity 8)  8 Se 2.99-3.14
Hf 0.0084 0.7500 0.5759 (multiplicity 4)  7 Se 2.67-2.84
Se 0.0053 0.7500 0.9459 (multiplicity 4)  1 Hf 2.84, 4 Ce 2.99-3.03
Se 0.0775 0.0375 0.6759 (multiplicity 8)  2 Hf 2.67-2.83
Se 0.1895 0.7500 0.3538 (multiplicity 4)  1 Hf 2.76, 2 Ce 3.07
Se 0.2094 0.2500 0.3341 (multiplicity 4)  1 Hf 2.69

DOS at the Fermi energy in states/eV/f.u.: 12.766
E in eV/atom: -6.549
ΔE_f (raw) in kJ per mole of atoms: -158.6

---

Entry 6:
VASP calculation (PBE) on a relaxed structure of K2LiPrI6.

Lattice parameters (Å, degrees): 8.2058 8.6737 14.2217 90.00 124.33 90.00
Last column: nearest neighbours and their distance in Å.
Space group P2_1/c (No. 14)
Inequivalent atoms, fractional coordinates:
K 0.2143 0.0862 0.2449 (multiplicity 4)  6 I 3.58-3.76
Li 0.0000 0.0000 0.5000 (multiplicity 2)  6 I 3.01-3.10
Pr 0.5000 0.0000 0.0000 (multiplicity 2)  6 I 3.15-3.16
I 0.1334 0.1985 0.9447 (multiplicity 4)  1 Li 3.10, 1 Pr 3.16
I 0.2537 0.6939 0.9465 (multiplicity 4)  1 Li 3.09, 1 Pr 3.16
I 0.3534 0.0237 0.7427 (multiplicity 4)  1 Li 3.01, 1 Pr 3.15

DOS at the Fermi energy in states/eV/f.u.: 0.000
E in eV/atom: -3.213
ΔE_f (raw) in kJ per mole of atoms: -134.5

---

Entry 7:
VASP calculation (PBE) on a relaxed structure of GdScPt4.

Lattice parameters (Å, degrees): 7.6226 7.6226 7.6226 90.00 90.00 90.00
Last column: nearest neighbours and their distance in Å.
Space group F-43m (No. 216)
Inequivalent atoms, fractional coordinates:
Gd 0.0000 0.0000 0.0000 (multiplicity 4)  12 Pt 3.16, 4 Sc 3.30
Sc 0.2500 0.2500 0.7500 (multiplicity 4)  12 Pt 3.16, 4 Gd 3.30
Pt 0.1247 0.1247 0.3753 (multiplicity 16)  6 Pt 2.69-2.70

DOS at the Fermi energy in states/eV/f.u.: 2.898
DFT formation energy in eV per formula unit: -6.20
E in eV/atom: -8.462

---

Entry 8:
VASP calculation (PBE) on a relaxed structure of V2AgPb.

Lattice parameters (Å, degrees): 7.3941 7.3941 5.5372 90.00 90.00 90.00
Last column: nearest neighbours and their distance in Å.
Space group I-42d (No. 122)
Inequivalent atoms, fractional coordinates:
V 0.2436 0.2500 0.1250 (multiplicity 8)  2 Ag 2.67, 2 Pb 2.74, 2 V 2.77
Ag 0.0000 0.0000 0.0000 (multiplicity 4)  4 V 2.67, 2 Pb 2.77
Pb 0.0000 0.0000 0.5000 (multiplicity 4)  4 V 2.74, 2 Ag 2.77

DOS at the Fermi energy in states/eV/f.u.: 4.200
DFT formation energy in eV per formula unit: 3.48
E in eV/atom: -5.329

---

Q: The highest DOS at the Fermi energy belongs to which entry?
A: Ce2HfSe5